No. 1
{"formula": "LaIrBr", "functional": "GGA-PBEsol", "state": "relaxed", "space_group": "F-43m, No. 216", "formation_energy_uncorrected_ev_per_atom": -0.02, "lattice": [[-3.502, -0.049, 3.105], [0.661, -1.858, 4.244], [0.174, 2.772, 3.767]], "species": ["Ir", "Br", "La"], "fractional_positions": [[0.000, 0.000, 0.000], [0.250, 0.250, 0.250], [0.500, 0.500, 0.500]]}

=====

No. 2
{"formula": "Ba2ZrIn", "functional": "GGA-PBEsol", "state": "relaxed", "space_group": "Pmmm, No. 47", "delta_e_f_kj_per_mol_atoms": 27, "lattice": [[-1.497, 1.495, -2.904], [-4.137, -3.253, 0.458], [-3.200, 4.637, 4.038]], "species": ["Ba", "Ba", "In", "Zr"], "fractional_positions": [[0.000, 0.000, 0.753], [0.000, 0.000, 0.247], [0.500, 0.500, 0.000], [0.500, 0.500, 0.500]]}